The following is a DFT calculation (PBE) of crystalline Rb3PaS3 at its relaxed geometry.

- Fermi-level density of states: 7.4 states/eV/cell
- Formation energy (no corrections): -1174 meV per atom

a = 9.2257 Å, b = 14.2307 Å, c = 8.3788 Å
α = 90.00°, β = 102.99°, γ = 90.00°
Space group C2/m (No. 12)
Symmetry-distinct sites (fractional):
Rb (0.0000, 0.1818, 0.0000) [4 per cell]
Rb (0.0000, 0.2716, 0.5000) [4 per cell]
Rb (0.1165, 0.5000, 0.8636) [4 per cell]
Pa (0.1639, 0.0000, 0.6197) [4 per cell]
S (0.0948, 0.0000, 0.2845) [4 per cell]
S (0.2004, 0.3549, 0.2252) [8 per cell]